(1)
Below is a relaxed structure of Ge2BiAu, with properties calculated at the PBE-GGA level.

Output
- ΔE_f (eV/f.u.) = 0.6
- total DFT energy (no corrections) (eV/atom) = -3.94
- total magnetic moment (μB per formula unit) = 0.0
- volume (Å³/f.u.) = 117.66
- space group = I-42d, No. 122

Geometry as POSCAR:
```
Ge2BiAu
1.0
-3.051 3.051 6.319
3.051 -3.051 6.319
3.051 3.051 -6.319
Ge Bi Au
4 2 2
Direct
0.080 0.625 0.955
0.375 0.330 0.455
0.670 0.125 0.045
0.875 0.920 0.545
0.250 0.750 0.500
0.500 0.500 0.000
0.000 0.000 0.000
0.750 0.250 0.500
```

=====

(2)
Below is a relaxed structure of GeBi5Au4, with properties calculated at the PBE-GGA level.

Output
- ΔE_f (eV/f.u.) = 0.4
- total DFT energy (no corrections) (eV/atom) = -3.67
- total magnetic moment (μB per formula unit) = 0.0
- volume (Å³/f.u.) = 264.42
- space group = C2/m, No. 12

Geometry as POSCAR:
```
GeBi5Au4
1.0
8.307 -2.153 0.000
8.307 2.153 0.000
-0.253 0.000 7.392
Ge Bi Au
1 5 4
Direct
0.000 0.000 0.000
0.000 0.000 0.500
0.325 0.325 0.376
0.335 0.335 0.828
0.665 0.665 0.172
0.675 0.675 0.624
0.155 0.155 0.899
0.485 0.485 0.216
0.515 0.515 0.784
0.845 0.845 0.101
```

=====

(3)
Below is a relaxed structure of GeBiAu, with properties calculated at the PBE-GGA level.

Output
- ΔE_f (eV/f.u.) = 0.2
- energy above the lowest structure with this stoichiometry (kJ per mole of atoms) = 1.0
- total DFT energy (no corrections) (eV/atom) = -3.86
- total magnetic moment (μB per formula unit) = 0.0
- volume (Å³/f.u.) = 73.56
- space group = P3m1, No. 156

Geometry as POSCAR:
```
GeBiAu
1.0
4.393 0.000 0.000
-2.196 3.804 0.000
0.000 0.000 4.402
Ge Bi Au
1 1 1
Direct
0.000 0.000 0.000
0.333 0.667 0.497
0.667 0.333 0.851
```

=====

(4)
Below is a relaxed structure of GeBi3Au, with properties calculated at the PBE-GGA level.

Output
- ΔE_f (eV/f.u.) = 3.3
- energy above the lowest structure with this stoichiometry (kJ per mole of atoms) = 0.0
- total DFT energy (no corrections) (eV/atom) = -3.25
- total magnetic moment (μB per formula unit) = 0.0
- volume (Å³/f.u.) = 170.55
- space group = Pm-3m, No. 221

Geometry as POSCAR:
```
GeBi3Au
1.0
5.546 0.000 0.000
0.000 5.546 0.000
0.000 0.000 5.546
Ge Bi Au
1 3 1
Direct
0.000 0.000 0.000
0.000 0.500 0.500
0.500 0.000 0.500
0.500 0.500 0.000
0.500 0.500 0.500
```